# Ac2Ni3Rh | the Alexandria database | GGA-PBE | relaxed
data_Ac2Ni3Rh
_cell_length_a 4.199
_cell_length_b 4.236
_cell_length_c 7.250
_cell_angle_alpha 90.00
_cell_angle_beta 90.00
_cell_angle_gamma 90.00
_space_group_name_H-M_alt 'P m m 2'
_space_group_IT_number 25
loop_
_space_group_symop_operation_xyz
'x,y,z'
'-x,-y,z'
'-x,y,z'
'x,-y,z'
loop_
_atom_site_label
_atom_site_type_symbol
_atom_site_fract_x
_atom_site_fract_y
_atom_site_fract_z
_atom_site_occupancy
Ac1 Ac 0.000 0.000 0.000 1
Ac2 Ac 0.500 0.000 0.499 1
Ni1 Ni 0.000 0.500 0.342 1
Ni2 Ni 0.000 0.500 0.667 1
Ni3 Ni 0.500 0.500 0.822 1
Rh1 Rh 0.500 0.500 0.164 1
# - DFT formation energy: -2.21 eV/f.u.


# LaMgP2Pd | the Alexandria database | GGA-PBE | relaxed
data_LaMgP2Pd
_cell_length_a 5.446
_cell_length_b 5.446
_cell_length_c 5.135
_cell_angle_alpha 90.00
_cell_angle_beta 90.00
_cell_angle_gamma 90.00
_space_group_name_H-M_alt 'P 4/m m m'
_space_group_IT_number 123
_space_group_name_Hall '-P 4 2'
loop_
_atom_site_label
_atom_site_type_symbol
_atom_site_fract_x
_atom_site_fract_y
_atom_site_fract_z
_atom_site_occupancy
La1 La 0.000 0.000 0.000 1
Mg1 Mg 0.500 0.500 0.500 1
P1 P 0.000 0.500 0.000 1
Pd1 Pd 0.000 0.000 0.500 1
# - DFT formation energy: 2.94 eV/f.u.


# CeMgZnAg | the Alexandria database | GGA-PBE | relaxed
data_CeMgZnAg
_cell_length_a 7.037
_cell_length_b 7.037
_cell_length_c 7.037
_cell_angle_alpha 90.00
_cell_angle_beta 90.00
_cell_angle_gamma 90.00
_space_group_name_H-M_alt 'F -4 3 m'
_space_group_IT_number 216
_space_group_name_Hall 'F -4 2 3'
loop_
_atom_site_label
_atom_site_type_symbol
_atom_site_fract_x
_atom_site_fract_y
_atom_site_fract_z
_atom_site_occupancy
Ce1 Ce 0.000 0.000 0.000 1
Mg1 Mg 0.000 0.000 0.500 1
Zn1 Zn 0.250 0.250 0.750 1
Ag1 Ag 0.250 0.250 0.250 1
# - DFT formation energy: -0.88 eV/f.u.


# AcLa3Ir | the Alexandria database | GGA-PBE | relaxed
data_AcLa3Ir
_cell_length_a 8.066
_cell_length_b 6.927
_cell_length_c 6.644
_cell_angle_alpha 90.00
_cell_angle_beta 90.00
_cell_angle_gamma 90.00
_space_group_name_H-M_alt 'P m n 21'
_space_group_IT_number 31
loop_
_space_group_symop_operation_xyz
'x,y,z'
'-x+1/2,-y,z+1/2'
'-x,y,z'
'x+1/2,-y,z+1/2'
loop_
_atom_site_label
_atom_site_type_symbol
_atom_site_fract_x
_atom_site_fract_y
_atom_site_fract_z
_atom_site_occupancy
Ac1 Ac 0.000 0.154 0.000 1
La1 La 0.000 0.843 0.490 1
La2 La 0.248 0.330 0.494 1
Ir1 Ir 0.000 0.509 0.740 1
# - ΔE to the lowest computed polymorph: 0.0000 eV/atom
# - DFT formation energy: -1.63 eV/f.u.


# CaV2SiH | the Alexandria database | GGA-PBE | relaxed
data_CaV2SiH
_cell_length_a 5.178
_cell_length_b 5.178
_cell_length_c 3.530
_cell_angle_alpha 90.00
_cell_angle_beta 90.00
_cell_angle_gamma 90.00
_space_group_name_H-M_alt 'P 4/m m m'
_space_group_IT_number 123
_space_group_name_Hall '-P 4 2'
loop_
_atom_site_label
_atom_site_type_symbol
_atom_site_fract_x
_atom_site_fract_y
_atom_site_fract_z
_atom_site_occupancy
Ca1 Ca 0.000 0.000 0.000 1
V1 V 0.000 0.500 0.000 1
Si1 Si 0.500 0.500 0.500 1
H1 H 0.000 0.000 0.500 1
# - Total DFT energy (no corrections): -4.35 eV per atom


# TlAsPb3 | the Alexandria database | GGA-PBE | relaxed
data_TlAsPb3
_cell_length_a 5.790
_cell_length_b 5.790
_cell_length_c 5.790
_cell_angle_alpha 90.00
_cell_angle_beta 90.00
_cell_angle_gamma 90.00
_space_group_name_H-M_alt 'P m -3 m'
_space_group_IT_number 221
_space_group_name_Hall '-P 4 2 3'
loop_
_atom_site_label
_atom_site_type_symbol
_atom_site_fract_x
_atom_site_fract_y
_atom_site_fract_z
_atom_site_occupancy
Tl1 Tl 0.000 0.000 0.000 1
As1 As 0.500 0.500 0.500 1
Pb1 Pb 0.000 0.000 0.500 1
# - ΔE to the lowest computed polymorph: 0.4492 eV/atom
# - DFT formation energy: 3.93 eV/f.u.


Copy entry 5 word for word.
# CaV2SiH | the Alexandria database | GGA-PBE | relaxed
data_CaV2SiH
_cell_length_a 5.178
_cell_length_b 5.178
_cell_length_c 3.530
_cell_angle_alpha 90.00
_cell_angle_beta 90.00
_cell_angle_gamma 90.00
_space_group_name_H-M_alt 'P 4/m m m'
_space_group_IT_number 123
_space_group_name_Hall '-P 4 2'
loop_
_atom_site_label
_atom_site_type_symbol
_atom_site_fract_x
_atom_site_fract_y
_atom_site_fract_z
_atom_site_occupancy
Ca1 Ca 0.000 0.000 0.000 1
V1 V 0.000 0.500 0.000 1
Si1 Si 0.500 0.500 0.500 1
H1 H 0.000 0.000 0.500 1
# - Total DFT energy (no corrections): -4.35 eV per atom


Which formula does entry 6 have? TlAsPb3